No. 1
VASP calculation (GGA-PBE) on a relaxed Sm2CuS2O2 crystal.

Computed properties:
Formation energy from raw total energies, meV per atom: -2075
Space group: P-3m1

Cell: 3.919 3.919 10.882 Å, 90.00 90.00 120.00°
Fractional coordinates of all 7 atoms:
1 S 0.000 0.000 0.192
2 S 0.000 0.000 0.808
3 Cu 0.000 0.000 0.000
4 O 0.667 0.333 0.581
5 O 0.333 0.667 0.419
6 Sm 0.333 0.667 0.637
7 Sm 0.667 0.333 0.363



No. 2
VASP calculation (GGA-PBE) on a relaxed RbHg2As2 crystal.

Computed properties:
ΔE_f, kcal/mol of atoms: 2.56
Excess energy over the best structure of this formula in the dataset, eV/atom: 0.236
Space group: P4/mbm

Cell: 8.821 8.821 3.301 Å, 90.00 90.00 90.00°
Fractional coordinates of all 10 atoms:
1 As 0.169 0.669 0.500
2 As 0.831 0.331 0.500
3 As 0.669 0.831 0.500
4 As 0.331 0.169 0.500
5 Hg 0.129 0.371 0.000
6 Hg 0.871 0.629 0.000
7 Hg 0.629 0.129 0.000
8 Hg 0.371 0.871 0.000
9 Rb 0.000 0.000 0.000
10 Rb 0.500 0.500 0.000



No. 3
VASP calculation (GGA-PBE) on a relaxed Y6Tc2Bi crystal.

Computed properties:
ΔE_f, kcal/mol of atoms: -5.61
Space group: Immm

Cell: 8.634 8.634 8.634 Å, 104.49 112.27 111.77°
Fractional coordinates of all 18 atoms:
1 Y 0.301 0.983 0.682
2 Y 0.780 0.239 0.019
3 Y 0.092 0.282 0.810
4 Y 0.699 0.017 0.318
5 Y 0.220 0.761 0.981
6 Y 0.528 0.718 0.810
7 Y 0.780 0.761 0.541
8 Y 0.301 0.619 0.318
9 Y 0.699 0.381 0.682
10 Y 0.220 0.239 0.459
11 Y 0.472 0.282 0.190
12 Y 0.908 0.718 0.190
13 Tc 0.371 0.000 0.371
14 Tc 0.500 0.614 0.114
15 Tc 0.500 0.386 0.886
16 Tc 0.629 0.000 0.629
17 Bi 0.000 0.500 0.500
18 Bi 0.000 0.000 0.000



No. 4
VASP calculation (GGA-PBE) on a relaxed CoTcHg2 crystal.

Computed properties:
ΔE_f, kcal/mol of atoms: 13.51
Excess energy over the best structure of this formula in the dataset, eV/atom: 0.253
Space group: Imm2

Cell: 5.756 5.756 5.756 Å, 151.52 130.25 58.33°
Fractional coordinates of all 4 atoms:
1 Tc 0.469 0.469 0.000
2 Hg 0.022 0.022 0.000
3 Hg 0.738 0.238 0.500
4 Co 0.271 0.771 0.500



No. 5
VASP calculation (GGA-PBE) on a relaxed Mn2RhAu6 crystal.

Computed properties:
ΔE_f, kcal/mol of atoms: -1.39
Space group: C2/m

Cell: 3.946 6.489 6.577 Å, 107.79 107.46 90.00°
Fractional coordinates of all 9 atoms:
1 Au 0.604 0.161 0.207
2 Au 0.396 0.839 0.793
3 Au 0.837 0.502 0.674
4 Au 0.163 0.498 0.326
5 Au 0.717 0.835 0.435
6 Au 0.283 0.165 0.565
7 Mn 0.054 0.811 0.108
8 Mn 0.946 0.189 0.892
9 Rh 0.500 0.500 0.000



No. 6
VASP calculation (GGA-PBE) on a relaxed Nd4CdOs crystal.

Computed properties:
ΔE_f, kcal/mol of atoms: -3.86
Excess energy over the best structure of this formula in the dataset, eV/atom: 0.035
Space group: C2/c

Cell: 6.342 9.317 8.038 Å, 115.05 99.50 113.32°
Fractional coordinates of all 12 atoms:
1 Nd 0.755 0.361 0.159
2 Nd 0.393 0.939 0.661
3 Nd 0.607 0.061 0.339
4 Nd 0.904 0.798 0.159
5 Nd 0.231 0.278 0.339
6 Nd 0.245 0.639 0.841
7 Nd 0.096 0.202 0.841
8 Nd 0.769 0.722 0.661
9 Cd 0.373 0.623 0.245
10 Cd 0.627 0.377 0.755
11 Os 0.250 0.000 0.999
12 Os 0.750 0.000 0.001



No. 7
VASP calculation (GGA-PBE) on a relaxed Co2AgH crystal.

Computed properties:
Excess energy over the best structure of this formula in the dataset, eV/atom: 0.083
Space group: P-1

Cell: 4.403 4.842 4.884 Å, 66.55 63.75 71.64°
Fractional coordinates of all 8 atoms:
1 Ag 0.696 0.227 0.432
2 Ag 0.304 0.773 0.568
3 Co 0.366 0.279 0.053
4 Co 0.008 0.713 0.223
5 Co 0.634 0.721 0.947
6 Co 0.992 0.287 0.777
7 H 0.256 0.000 0.982
8 H 0.744 0.000 0.018



No. 8
VASP calculation (GGA-PBE) on a relaxed La3NdGa4 crystal.

Computed properties:
ΔE_f, kcal/mol of atoms: -9.71
Excess energy over the best structure of this formula in the dataset, eV/atom: 0.147
Space group: Immm

Cell: 3.783 6.987 9.677 Å, 111.15 101.27 90.00°
Fractional coordinates of all 8 atoms:
1 Ga 0.628 0.819 0.256
2 Ga 0.628 0.438 0.256
3 Ga 0.372 0.181 0.744
4 Ga 0.372 0.562 0.744
5 La 0.796 0.796 0.592
6 La 0.000 0.500 0.000
7 La 0.204 0.204 0.408
8 Nd 0.500 0.000 0.000



No. 9
VASP calculation (GGA-PBE) on a relaxed Ti5Al4 crystal.

Computed properties:
ΔE_f, kcal/mol of atoms: -6.00
Space group: I4/mmm

Cell: 4.054 6.378 6.378 Å, 84.20 71.47 71.47°
Fractional coordinates of all 9 atoms:
1 Ti 0.669 0.000 0.662
2 Ti 0.669 0.662 0.000
3 Ti 0.331 0.000 0.338
4 Ti 0.331 0.338 0.000
5 Ti 0.000 0.000 0.000
6 Al 0.328 0.672 0.672
7 Al 0.672 0.328 0.328
8 Al 0.000 0.328 0.672
9 Al 0.000 0.672 0.328



No. 10
VASP calculation (GGA-PBE) on a relaxed Fe2CuAuN crystal.

Computed properties:
Formation energy from raw total energies, meV per atom: 273
Excess energy over the best structure of this formula in the dataset, eV/atom: 0.245
Space group: P4/mmm

Cell: 3.763 4.456 3.763 Å, 90.00 90.00 90.00°
Fractional coordinates of all 5 atoms:
1 Fe 0.500 0.000 0.000
2 Fe 0.000 0.000 0.500
3 Cu 0.500 0.500 0.500
4 Au 0.000 0.500 0.000
5 N 0.000 0.000 0.000



No. 11
VASP calculation (GGA-PBE) on a relaxed Na7InSn5 crystal.

Computed properties:
ΔE_f, kcal/mol of atoms: -2.50
Space group: Imm2

Cell: 6.734 8.370 8.370 Å, 78.58 66.28 66.28°
Fractional coordinates of all 13 atoms:
1 Sn 0.451 0.540 0.009
2 Sn 0.001 0.540 0.009
3 Sn 0.451 0.009 0.540
4 Sn 0.757 0.743 0.743
5 Sn 0.001 0.009 0.540
6 Na 0.964 0.755 0.317
7 Na 0.398 0.602 0.602
8 Na 0.775 0.225 0.225
9 Na 0.183 0.317 0.317
10 Na 0.486 0.184 0.845
11 Na 0.486 0.845 0.184
12 Na 0.964 0.317 0.755
13 In 0.083 0.917 0.917



No. 12
VASP calculation (GGA-PBE) on a relaxed PrTa4N8 crystal.

Computed properties:
Formation energy from raw total energies, meV per atom: -855
Space group: Cm

Cell: 3.189 7.685 7.542 Å, 80.96 77.79 78.02°
Fractional coordinates of all 13 atoms:
1 Pr 0.612 0.896 0.880
2 N 0.783 0.383 0.052
3 N 0.472 0.336 0.720
4 N 0.841 0.991 0.328
5 N 0.855 0.704 0.587
6 N 0.140 0.333 0.386
7 N 0.166 0.027 0.640
8 N 0.547 0.686 0.220
9 N 0.228 0.654 0.891
10 Ta 0.660 0.191 0.489
11 Ta 0.367 0.830 0.435
12 Ta 0.164 0.514 0.158
13 Ta 0.869 0.478 0.784



No. 13
VASP calculation (GGA-PBE) on a relaxed Cs2GaIrBr6 crystal.

Computed properties:
Formation energy from raw total energies, meV per atom: -946
Space group: I4/mmm

Cell: 7.798 7.798 7.796 Å, 59.99 59.99 90.00°
Fractional coordinates of all 10 atoms:
1 Br 0.230 0.230 0.000
2 Br 0.770 0.770 0.000
3 Br 0.770 0.770 0.460
4 Br 0.230 0.230 0.540
5 Br 0.230 0.770 0.000
6 Br 0.770 0.230 0.000
7 Cs 0.750 0.250 0.500
8 Cs 0.250 0.750 0.500
9 Ga 0.500 0.500 0.000
10 Ir 0.000 0.000 0.000



No. 14
VASP calculation (GGA-PBE) on a relaxed RbMg3Ga crystal.

Computed properties:
ΔE_f, kcal/mol of atoms: 26.53
Excess energy over the best structure of this formula in the dataset, eV/atom: 0.978
Space group: Pm-3m

Cell: 6.482 6.482 6.482 Å, 90.00 90.00 90.00°
Fractional coordinates of all 5 atoms:
1 Mg 0.000 0.000 0.500
2 Mg 0.000 0.500 0.000
3 Mg 0.500 0.000 0.000
4 Rb 0.000 0.000 0.000
5 Ga 0.500 0.500 0.500



No. 15
VASP calculation (GGA-PBE) on a relaxed Pm2GaF8 crystal.

Computed properties:
Formation energy from raw total energies, meV per atom: -3456
Excess energy over the best structure of this formula in the dataset, eV/atom: 0.005
Space group: C2/m

Cell: 4.236 6.677 6.677 Å, 68.42 69.48 69.48°
Fractional coordinates of all 11 atoms:
1 F 0.318 0.436 0.436
2 F 0.883 0.071 0.679
3 F 0.682 0.564 0.564
4 F 0.565 0.192 0.192
5 F 0.117 0.929 0.321
6 F 0.435 0.808 0.808
7 F 0.117 0.321 0.929
8 F 0.883 0.679 0.071
9 Pm 0.057 0.677 0.677
10 Pm 0.943 0.323 0.323
11 Ga 0.000 0.000 0.000



No. 16
VASP calculation (GGA-PBE) on a relaxed ScBe2Re crystal.

Computed properties:
ΔE_f, kcal/mol of atoms: 2.79
Excess energy over the best structure of this formula in the dataset, eV/atom: 0.270
Space group: P4mm

Cell: 2.756 2.756 6.904 Å, 90.00 90.00 90.00°
Fractional coordinates of all 4 atoms:
1 Sc 0.500 0.500 0.774
2 Be 0.000 0.000 0.064
3 Be 0.500 0.500 0.217
4 Re 0.000 0.000 0.445



No. 17
VASP calculation (GGA-PBE) on a relaxed CuAs2Pt crystal.

Computed properties:
ΔE_f, kcal/mol of atoms: -0.86
Excess energy over the best structure of this formula in the dataset, eV/atom: 0.023
Space group: R-3m

Cell: 6.358 6.358 6.358 Å, 33.42 33.42 33.42°
Fractional coordinates of all 4 atoms:
1 Pt 0.750 0.750 0.750
2 Cu 0.250 0.250 0.250
3 As 0.499 0.499 0.499
4 As 0.001 0.001 0.001



No. 18
VASP calculation (GGA-PBE) on a relaxed Nb2CrAuC crystal.

Computed properties:
ΔE_f, kcal/mol of atoms: -3.07
Space group: P4/mmm

Cell: 4.348 4.348 3.873 Å, 90.00 90.00 90.00°
Fractional coordinates of all 5 atoms:
1 C 0.000 0.000 0.000
2 Nb 0.500 0.000 0.000
3 Nb 0.000 0.500 0.000
4 Cr 0.000 0.000 0.500
5 Au 0.500 0.500 0.500



No. 19
VASP calculation (GGA-PBE) on a relaxed PaAg2TeO6 crystal.

Computed properties:
Formation energy from raw total energies, meV per atom: -1549
Space group: R-3

Cell: 5.779 5.779 5.934 Å, 60.86 60.86 60.00°
Fractional coordinates of all 10 atoms:
1 O 0.075 0.466 0.807
2 O 0.557 0.166 0.296
3 O 0.466 0.652 0.807
4 O 0.166 0.981 0.296
5 O 0.652 0.075 0.807
6 O 0.981 0.557 0.296
7 Ag 0.065 0.065 0.804
8 Ag 0.567 0.567 0.299
9 Pa 0.816 0.816 0.552
10 Te 0.316 0.316 0.052



No. 20
VASP calculation (GGA-PBE) on a relaxed BeCoTc2 crystal.

Computed properties:
ΔE_f, kcal/mol of atoms: 3.91
Excess energy over the best structure of this formula in the dataset, eV/atom: 0.231
Space group: R-3m

Cell: 8.298 8.298 8.298 Å, 18.43 18.43 18.43°
Fractional coordinates of all 4 atoms:
1 Be 0.250 0.250 0.250
2 Tc 0.501 0.501 0.501
3 Tc 0.999 0.999 0.999
4 Co 0.750 0.750 0.750



No. 21
VASP calculation (GGA-PBE) on a relaxed CeNd2In2Rh5 crystal.

Computed properties:
ΔE_f, kcal/mol of atoms: -12.56
Space group: P4/mbm

Cell: 3.761 10.457 10.457 Å, 90.00 90.00 90.00°
Fractional coordinates of all 20 atoms:
1 Rh 0.500 0.440 0.303
2 Rh 0.500 0.803 0.940
3 Rh 0.500 0.560 0.697
4 Rh 0.500 0.697 0.440
5 Rh 0.500 0.000 0.500
6 Rh 0.500 0.197 0.060
7 Rh 0.500 0.940 0.197
8 Rh 0.500 0.060 0.803
9 Rh 0.500 0.500 0.000
10 Rh 0.500 0.303 0.560
11 Ce 0.000 0.500 0.500
12 Ce 0.000 0.000 0.000
13 In 0.000 0.870 0.370
14 In 0.000 0.370 0.130
15 In 0.000 0.130 0.630
16 In 0.000 0.630 0.870
17 Nd 0.000 0.832 0.668
18 Nd 0.000 0.168 0.332
19 Nd 0.000 0.332 0.832
20 Nd 0.000 0.668 0.168



No. 22
VASP calculation (GGA-PBE) on a relaxed KTaI2 crystal.

Computed properties:
Formation energy from raw total energies, meV per atom: 520
Excess energy over the best structure of this formula in the dataset, eV/atom: 0.204
Space group: Fm-3m

Cell: 5.270 5.270 5.270 Å, 60.00 60.00 60.00°
Fractional coordinates of all 4 atoms:
1 I 0.750 0.750 0.750
2 I 0.250 0.250 0.250
3 Ta 0.500 0.500 0.500
4 K 0.000 0.000 0.000



No. 23
VASP calculation (GGA-PBE) on a relaxed Zr4TaIn crystal.

Computed properties:
ΔE_f, kcal/mol of atoms: 7.79
Space group: F-43m

Cell: 5.730 5.730 5.730 Å, 60.00 60.00 60.00°
Fractional coordinates of all 6 atoms:
1 In 0.750 0.750 0.750
2 Zr 0.882 0.373 0.373
3 Zr 0.373 0.882 0.373
4 Zr 0.373 0.373 0.882
5 Zr 0.373 0.373 0.373
6 Ta 0.000 0.000 0.000



No. 24
VASP calculation (GGA-PBE) on a relaxed CdFe crystal.

Computed properties:
ΔE_f, kcal/mol of atoms: 9.49
Space group: R-3m

Cell: 4.956 4.956 4.956 Å, 33.34 33.34 33.34°
Fractional coordinates of all 2 atoms:
1 Cd 0.000 0.000 0.000
2 Fe 0.500 0.500 0.500



Calculated electronic total energy in order - -6.605, -2.063, -7.287, -3.933, -5.100, -5.370, -4.816, -4.378, -6.310, -6.251, -2.569, -9.993, -3.309, -0.605, -5.956, -6.437, -4.896, -8.586, -6.358, -7.722, -6.315, -3.492, -7.793, -4.278 eV/atom